VASP calculation (PBE-GGA) on a geometry-optimized ErScCo2H6 structure.

The structure belongs to space group R-3m (No. 166, hexagonal axes); the cell edges are 4.3332, 4.3332 and 15.7046 Å and the angles 90.00°, 90.00° and 120.00°. The asymmetric unit holds Er at (0.0000, 0.0000, 0.0000), Sc at (0.0000, 0.0000, 0.5000), Co at (0.0000, 0.0000, 0.2128) and H at (0.0011, 0.5005, 0.9384).

For the total magnetization, the calculation gives 0.00 μB/f.u. The total energy comes out at -147.60 eV for the cell shown.